This record from Alexandria describes an optimized crystal structure of Os2PtW. The functional is GGA-PBE.

Unit cell a=2.756 b=2.756 c=8.000 alpha=90.00 beta=90.00 gamma=90.00
Fractional positions:
W 0.500 0.500 0.750
Os 0.000 0.000 0.014
Pt 0.000 0.000 0.502
Os 0.500 0.500 0.234

Summary:
Calculated formation energy ... 0.000 eV per atom
SG ... No. 99
Polymorph energy (0 for the lowest one) ... 0.31 eV per formula unit
VASP energy ... -10.36 eV per atom